Material: YSc2SnO
Method: DFT, GGA-PBE
State: optimized geometry

magnetic moment = 0.00 μB per formula unit
energy relative to the elements, uncorrected = -1.487 eV/atom
N(E_F) = 4.80 states/eV/cell

abc: 4.4627 4.4627 4.8307
angles: 90.00 90.00 90.00
With the nearest neighbours (Å) after each atom.
Element x y z (fractional)
Y 0.0000 0.0000 0.5000  2 O 2.42
Sn 0.5000 0.5000 0.5000  4 Y 3.16, 8 Sc 3.29
Sc 0.0000 0.5000 0.0000  2 O 2.23
Sc 0.5000 0.0000 0.0000  2 O 2.23
O 0.0000 0.0000 0.0000  4 Sc 2.23, 2 Y 2.42

---

Material: Y2ScSnO
Method: DFT, GGA-PBE
State: optimized geometry

magnetic moment = 0.00 μB per formula unit
energy relative to the elements, uncorrected = -1.492 eV/atom
N(E_F) = 3.18 states/eV/cell

abc: 4.8725 4.8725 4.3519
angles: 90.00 90.00 90.00
With the nearest neighbours (Å) after each atom.
Element x y z (fractional)
Y 0.5000 0.0000 0.0000  2 O 2.44
Y 0.0000 0.5000 0.0000  2 O 2.44
O 0.0000 0.0000 0.0000  2 Sc 2.18, 4 Y 2.44
Sc 0.0000 0.0000 0.5000  2 O 2.18
Sn 0.5000 0.5000 0.5000  8 Y 3.27, 4 Sc 3.45

---

Material: Sc2ZnSnO
Method: DFT, GGA-PBE
State: optimized geometry

magnetic moment = 1.41 μB per formula unit
energy relative to the elements, uncorrected = -0.198 eV/atom
N(E_F) = 4.22 states/eV/cell

abc: 5.3965 3.6372 5.3965
angles: 90.00 90.00 90.00
With the nearest neighbours (Å) after each atom.
Element x y z (fractional)
O 0.0000 0.5000 0.0000  2 Zn 1.82
Sc 0.5000 0.0000 0.0000  2 Zn 2.70
Sn 0.5000 0.5000 0.5000  8 Sc 3.25, 2 Sn 3.64
Zn 0.0000 0.0000 0.0000  2 O 1.82
Sc 0.0000 0.0000 0.5000  2 Zn 2.70

---

Material: Zr2ScSnO
Method: DFT, GGA-PBE
State: optimized geometry

magnetic moment = 0.00 μB per formula unit
energy relative to the elements, uncorrected = -0.129 eV/atom
N(E_F) = 5.16 states/eV/cell
excess energy over the best structure of this formula in the dataset = 1143 meV/atom

abc: 5.4793 3.8028 5.4793
angles: 90.00 90.00 90.00
With the nearest neighbours (Å) after each atom.
Element x y z (fractional)
Zr 0.0000 0.0000 0.5000  2 Sc 2.74
Zr 0.5000 0.0000 0.0000  2 Sc 2.74
Sc 0.0000 0.0000 0.0000  2 O 1.90
Sn 0.5000 0.5000 0.5000  8 Zr 3.33
O 0.0000 0.5000 0.0000  2 Sc 1.90

---

Copy entry 3 word for word.
Material: Sc2ZnSnO
Method: DFT, GGA-PBE
State: optimized geometry

magnetic moment = 1.41 μB per formula unit
energy relative to the elements, uncorrected = -0.198 eV/atom
N(E_F) = 4.22 states/eV/cell

abc: 5.3965 3.6372 5.3965
angles: 90.00 90.00 90.00
With the nearest neighbours (Å) after each atom.
Element x y z (fractional)
O 0.0000 0.5000 0.0000  2 Zn 1.82
Sc 0.5000 0.0000 0.0000  2 Zn 2.70
Sn 0.5000 0.5000 0.5000  8 Sc 3.25, 2 Sn 3.64
Zn 0.0000 0.0000 0.0000  2 O 1.82
Sc 0.0000 0.0000 0.5000  2 Zn 2.70

---

Copy entry 2 word for word.
Material: Y2ScSnO
Method: DFT, GGA-PBE
State: optimized geometry

magnetic moment = 0.00 μB per formula unit
energy relative to the elements, uncorrected = -1.492 eV/atom
N(E_F) = 3.18 states/eV/cell

abc: 4.8725 4.8725 4.3519
angles: 90.00 90.00 90.00
With the nearest neighbours (Å) after each atom.
Element x y z (fractional)
Y 0.5000 0.0000 0.0000  2 O 2.44
Y 0.0000 0.5000 0.0000  2 O 2.44
O 0.0000 0.0000 0.0000  2 Sc 2.18, 4 Y 2.44
Sc 0.0000 0.0000 0.5000  2 O 2.18
Sn 0.5000 0.5000 0.5000  8 Y 3.27, 4 Sc 3.45

---

Look up the energy relative to the elements, uncorrected of the first one. -1.487 eV/atom